[1]
A relaxed structure of CaSbN2, computed with PBEsol.

Its formation energy (no corrections) is 0.60 eV per formula unit. Its density of states at the Fermi level is 8.818 states/eV per cell. As for the total DFT energy (no corrections): -5.787 eV/atom. For the total magnetization, the calculation gives 0.0 μB/cell.

The structure belongs to space group R-3m (No. 166, hexagonal axes); the cell edges are 3.6748, 3.6748 and 18.6377 Å and the angles 90.00°, 90.00° and 120.00°. The distinct sites, in fractional coordinates, are Ca at (0.0000, 0.0000, 0.0000), Sb at (0.0000, 0.0000, 0.5000) and N at (0.0000, 0.0000, 0.3967).

---

[2]
A relaxed structure of CaSbSeN2, computed with PBEsol.

Its formation energy (no corrections) is 1.07 eV per formula unit. Its density of states at the Fermi level is 3.029 states/eV per cell. As for the total DFT energy (no corrections): -5.305 eV/atom. For the total magnetization, the calculation gives 0.3 μB/cell.

The structure belongs to space group P4/mmm (No. 123); the cell edges are 4.067, 4.067 and 5.454 Å and the angles 90.00°, 90.00° and 90.00°. The distinct sites, in fractional coordinates, are Ca at (0.000, 0.000, 0.000), Sb at (0.500, 0.500, 0.500), Se at (0.500, 0.500, 0.000) and N at (0.000, 0.500, 0.500).

---

Please write out number 2 again, unchanged.
A relaxed structure of CaSbSeN2, computed with PBEsol.

Its formation energy (no corrections) is 1.07 eV per formula unit. Its density of states at the Fermi level is 3.029 states/eV per cell. As for the total DFT energy (no corrections): -5.305 eV/atom. For the total magnetization, the calculation gives 0.3 μB/cell.

The structure belongs to space group P4/mmm (No. 123); the cell edges are 4.067, 4.067 and 5.454 Å and the angles 90.00°, 90.00° and 90.00°. The distinct sites, in fractional coordinates, are Ca at (0.000, 0.000, 0.000), Sb at (0.500, 0.500, 0.500), Se at (0.500, 0.500, 0.000) and N at (0.000, 0.500, 0.500).